Computed, not measured: CuTe2Pt after structural relaxation at the GGA-PBE level of DFT.

The structure in POSCAR format:
```
CuTe2Pt
1.0
-2.328 -4.000 -6.587
1.581 -3.000 -7.302
0.691 -6.271 -5.001
Te Cu Pt
2 1 1
Direct
0.893 0.893 0.893
0.107 0.107 0.107
0.000 0.000 0.000
0.500 0.500 0.500
```

mass density = 7.63 g/cm³
uncorrected formation energy = -0.03 eV per atom
total DFT energy (no corrections) = -4.14 eV per atom
size of the total moment = 0.0 Bohr magnetons per cell


Computed, not measured: CuTe4Pt after structural relaxation at the GGA-PBE level of DFT.

The structure in POSCAR format:
```
CuTe4Pt
1.0
4.125 0.000 0.000
0.000 6.102 -2.847
0.000 -0.629 6.838
Cu Te Pt
1 4 1
Direct
0.000 0.500 0.500
0.000 0.272 0.717
0.000 0.728 0.283
0.500 0.252 0.209
0.500 0.748 0.791
0.500 0.500 0.000
```

mass density = 7.75 g/cm³
uncorrected formation energy = -0.16 eV per atom
total DFT energy (no corrections) = -3.94 eV per atom
size of the total moment = 0.0 Bohr magnetons per cell


Computed, not measured: Th2Cu5Pt12 after structural relaxation at the GGA-PBE level of DFT.

The structure in POSCAR format:
```
Th2Cu5Pt12
1.0
-6.300 0.756 -2.647
1.339 -2.663 -6.195
-2.250 -6.366 1.291
Th Cu Pt
2 5 12
Direct
0.661 0.661 0.661
0.339 0.339 0.339
0.000 0.000 0.500
0.000 0.500 0.000
0.500 0.000 0.000
0.907 0.907 0.907
0.093 0.093 0.093
0.303 0.697 0.000
0.697 0.000 0.303
0.000 0.303 0.697
0.697 0.303 0.000
0.303 0.000 0.697
0.000 0.697 0.303
0.341 0.341 0.859
0.341 0.859 0.341
0.859 0.341 0.341
0.659 0.141 0.659
0.659 0.659 0.141
0.141 0.659 0.659
```

DFT formation energy = -0.517 eV per atom
mass density = 16.32 g/cm³
total DFT energy (no corrections) = -6.19 eV per atom
size of the total moment = 0.0 Bohr magnetons per cell


Computed, not measured: Th4CuPt3 after structural relaxation at the GGA-PBE level of DFT.

The structure in POSCAR format:
```
Th4CuPt3
1.0
3.930 0.000 0.000
0.000 4.443 0.000
0.000 0.000 11.223
Pt Cu Th
3 1 4
Direct
0.000 0.500 0.598
0.000 0.000 0.411
0.500 0.000 0.913
0.500 0.500 0.078
0.500 0.500 0.357
0.000 0.500 0.865
0.000 0.000 0.141
0.500 0.000 0.636
```

DFT formation energy = -0.938 eV per atom
mass density = 13.36 g/cm³
total DFT energy (no corrections) = -7.42 eV per atom
size of the total moment = 0.0 Bohr magnetons per cell


Computed, not measured: Th2Cu2Pt15 after structural relaxation at the GGA-PBE level of DFT.

The structure in POSCAR format:
```
Th2Cu2Pt15
1.0
6.984 -0.029 -0.026
0.878 6.929 -0.026
0.878 0.770 6.886
Th Cu Pt
2 2 15
Direct
0.338 0.338 0.338
0.662 0.662 0.662
0.095 0.095 0.095
0.905 0.905 0.905
0.500 0.000 0.000
0.000 0.000 0.500
0.000 0.500 0.000
0.000 0.686 0.314
0.686 0.314 0.000
0.314 0.000 0.686
0.314 0.686 0.000
0.686 0.000 0.314
0.000 0.314 0.686
0.159 0.657 0.657
0.657 0.657 0.159
0.657 0.159 0.657
0.841 0.343 0.343
0.343 0.343 0.841
0.343 0.841 0.343
```

DFT formation energy = -0.495 eV per atom
mass density = 17.50 g/cm³
total DFT energy (no corrections) = -6.48 eV per atom
size of the total moment = 0.0 Bohr magnetons per cell


Computed, not measured: Th2Cu5Pt5 after structural relaxation at the GGA-PBE level of DFT.

The structure in POSCAR format:
```
Th2Cu5Pt5
1.0
4.389 0.000 0.000
0.000 5.152 0.000
0.000 0.000 9.147
Th Cu Pt
2 5 5
Direct
0.000 0.500 0.000
0.000 0.000 0.500
0.500 0.500 0.500
0.500 0.750 0.257
0.500 0.250 0.743
0.500 0.250 0.257
0.500 0.750 0.743
0.000 0.500 0.335
0.000 0.000 0.824
0.000 0.000 0.176
0.000 0.500 0.665
0.500 0.000 0.000
```

DFT formation energy = -0.657 eV per atom
mass density = 14.11 g/cm³
total DFT energy (no corrections) = -6.12 eV per atom
size of the total moment = 0.0 Bohr magnetons per cell